(1)
Computed, not measured: a geometry-optimized LaTcRu2 structure at the PBE level of DFT.

The structure belongs to space group P4/mmm (No. 123); the cell edges are 4.829, 4.829 and 3.048 Å and the angles 90.00°, 90.00° and 90.00°. Symmetry generates all atoms from La at (0.000, 0.000, 0.000), Tc at (0.500, 0.500, 0.000) and Ru at (0.000, 0.500, 0.500).

For the density of states at the Fermi level, the calculation gives 6.51 states/eV/cell. The calculation puts the formation energy at 0.44 eV per atom. The value obtained for the magnetic moment is 0.07 μB per atom. The value obtained for the theoretical density is 10.3 g/cm³. The crystal system is tetragonal. Its total DFT energy (no corrections) is -32.09 eV per formula unit.

=====

(2)
Computed, not measured: a geometry-optimized ZrCo3Cl structure at the PBE level of DFT.

The structure belongs to space group Pm-3m (No. 221); the cell edges are 4.147, 4.147 and 4.147 Å and the angles 90.00°, 90.00° and 90.00°. Symmetry generates all atoms from Zr at (0.000, 0.000, 0.000), Co at (0.000, 0.500, 0.500) and Cl at (0.500, 0.500, 0.500).

For the density of states at the Fermi level, the calculation gives 4.21 states/eV/cell. The value obtained for the magnetic moment is 0.00 μB per atom. The value obtained for the theoretical density is 7.1 g/cm³. Its formation energy (no corrections) is 0.48 eV per atom. The crystal system is cubic. Its total DFT energy (no corrections) is -29.30 eV per formula unit.

=====

(3)
Computed, not measured: a geometry-optimized TiPdAu3 structure at the PBE level of DFT.

The structure belongs to space group Pm-3m (No. 221); the cell edges are 4.961, 4.961 and 4.961 Å and the angles 90.00°, 90.00° and 90.00°. Symmetry generates all atoms from Ti at (0.000, 0.000, 0.000), Pd at (0.500, 0.500, 0.500) and Au at (0.000, 0.500, 0.500).

For the density of states at the Fermi level, the calculation gives 24.72 states/eV/cell. The calculation puts the formation energy at 0.92 eV per atom. The value obtained for the magnetic moment is 0.00 μB per atom. The value obtained for the theoretical density is 10.1 g/cm³. The crystal system is cubic. Its total DFT energy (no corrections) is -18.30 eV per formula unit.

=====

(4)
Computed, not measured: a geometry-optimized BaCdPb structure at the PBE level of DFT.

The structure belongs to space group Imm2 (No. 44); the cell edges are 5.351, 25.859 and 8.922 Å and the angles 90.00°, 90.00° and 90.00°. Symmetry generates all atoms from Ba at (0.000, 0.000, 0.000), Ba at (0.000, 0.167, 0.089), Ba at (0.000, 0.333, 0.003), Ba at (0.000, 0.500, 0.089), Cd at (0.000, 0.057, 0.379), Cd at (0.000, 0.225, 0.714), Cd at (0.000, 0.393, 0.377), Pb at (0.000, 0.101, 0.702), Pb at (0.000, 0.267, 0.389) and Pb at (0.000, 0.434, 0.702).

For the density of states at the Fermi level, the calculation gives 8.14 states/eV/cell. The calculation puts the formation energy at -0.46 eV per atom. The value obtained for the magnetic moment is 0.00 μB per atom. The value obtained for the theoretical density is 7.4 g/cm³. The crystal system is orthorhombic. Its total DFT energy (no corrections) is -7.93 eV per formula unit.

=====

(5)
Computed, not measured: a geometry-optimized NaCaLa2O structure at the PBE level of DFT.

The structure belongs to space group P4/mmm (No. 123); the cell edges are 5.095, 5.095 and 5.400 Å and the angles 90.00°, 90.00° and 90.00°. Symmetry generates all atoms from Na at (0.000, 0.000, 0.000), Ca at (0.500, 0.500, 0.000), La at (0.000, 0.500, 0.500) and O at (0.500, 0.500, 0.500).

For the density of states at the Fermi level, the calculation gives 6.45 states/eV/cell. The value obtained for the magnetic moment is 0.00 μB per atom. The value obtained for the theoretical density is 4.2 g/cm³. Its formation energy (no corrections) is -0.92 eV per atom. The crystal system is tetragonal. Its total DFT energy (no corrections) is -22.74 eV per formula unit.

=====

(6)
Computed, not measured: a geometry-optimized MnRhSe structure at the PBE level of DFT.

The structure belongs to space group I4mm (No. 107); the cell edges are 3.303, 3.303 and 8.481 Å and the angles 90.00°, 90.00° and 90.00°. Symmetry generates all atoms from Mn at (0.000, 0.000, 0.000), Rh at (0.000, 0.000, 0.341) and Se at (0.000, 0.000, 0.651).

For the density of states at the Fermi level, the calculation gives 3.39 states/eV/cell. The value obtained for the magnetic moment is 1.29 μB per atom. The value obtained for the theoretical density is 8.5 g/cm³. Its formation energy (no corrections) is -0.03 eV per atom. The crystal system is tetragonal. Its total DFT energy (no corrections) is -20.10 eV per formula unit.

=====

(7)
Computed, not measured: a geometry-optimized HoPu2Hf structure at the PBE level of DFT.

The structure belongs to space group P4/mmm (No. 123); the cell edges are 4.650, 4.650 and 4.740 Å and the angles 90.00°, 90.00° and 90.00°. Symmetry generates all atoms from Ho at (0.000, 0.000, 0.000), Pu at (0.000, 0.500, 0.500) and Hf at (0.500, 0.500, 0.000).

For the density of states at the Fermi level, the calculation gives 14.01 states/eV/cell. The calculation puts the formation energy at 0.21 eV per atom. The value obtained for the magnetic moment is 2.83 μB per atom. The value obtained for the theoretical density is 13.5 g/cm³. The crystal system is tetragonal. Its total DFT energy (no corrections) is -42.35 eV per formula unit.

=====

(8)
Computed, not measured: a geometry-optimized Rb3TbNd2Se6 structure at the PBE level of DFT.

The structure belongs to space group C2/m (No. 12); the cell edges are 7.517, 13.019 and 8.402 Å and the angles 90.00°, 107.36° and 90.00°. Symmetry generates all atoms from Rb at (0.000, 0.000, 0.000), Rb at (0.000, 0.332, 0.000), Tb at (0.000, 0.500, 0.500), Nd at (0.000, 0.167, 0.500), Se at (0.230, 0.337, 0.699) and Se at (0.240, 0.000, 0.700).

For the density of states at the Fermi level, the calculation gives 0.00 states/eV/cell. The value obtained for the magnetic moment is 0.00 μB per atom. The value obtained for the theoretical density is 5.0 g/cm³. Its formation energy (no corrections) is -1.74 eV per atom. The crystal system is monoclinic. Its total DFT energy (no corrections) is -58.80 eV per formula unit.